<w>
{
  "formula": "Mn2SbCl",
  "functional": "PBE-GGA",
  "state": "relaxed",
  "lattice_angstrom": [[7.2958, -0.4353, -0.2582], [6.5487, 3.2453, -0.2582], [6.5487, 1.3292, 2.9718]],
  "species": ["Cl", "Mn", "Mn", "Sb"],
  "frac_coords": [[0.7500, 0.7500, 0.7500], [0.9966, 0.9966, 0.9966], [0.5034, 0.5034, 0.5034], [0.2500, 0.2500, 0.2500]],
  "volume_a3_per_cell": 85,
  "magnetic_moment_mub_per_atom": 2.106
}



<x>
{
  "formula": "Mn2SbCl",
  "functional": "PBE-GGA",
  "state": "relaxed",
  "lattice_angstrom": [[-4.6004, 0.8444, -1.0749], [-4.3110, -2.1054, -0.1205], [-5.2633, 1.1873, 5.2653]],
  "species": ["Cl", "Mn", "Mn", "Sb"],
  "frac_coords": [[0.7500, 0.7500, 0.7500], [0.0627, 0.0627, 0.0716], [0.4373, 0.4373, 0.4284], [0.2500, 0.2500, 0.2500]],
  "volume_a3_per_cell": 87,
  "magnetic_moment_mub_per_atom": 1.808
}



It turns out <x> is the most stable, with the second structure 63 meV per atom higher.



<w>
{
  "formula": "Mn2SbCl",
  "functional": "PBE-GGA",
  "state": "relaxed",
  "lattice_angstrom": [[-0.1639, -3.9937, 4.3253], [-1.7125, -5.4974, -1.2369], [3.7918, 4.4472, -0.7272]],
  "species": ["Cl", "Mn", "Mn", "Sb"],
  "frac_coords": [[0.2124, 0.7124, 0.5000], [0.0025, 0.0025, 0.0000], [0.7689, 0.2689, 0.5000], [0.5162, 0.5162, 0.0000]],
  "volume_a3_per_cell": 79,
  "magnetic_moment_mub_per_atom": 2.008
}



<x>
{
  "formula": "Mn2SbCl",
  "functional": "PBE-GGA",
  "state": "relaxed",
  "lattice_angstrom": [[5.0218, 0.0000, 0.0000], [0.0000, 5.0269, 0.0000], [0.0000, 0.0000, 3.0765]],
  "species": ["Cl", "Mn", "Mn", "Sb"],
  "frac_coords": [[0.0000, 0.5000, 0.5000], [0.0000, 0.0000, 0.0000], [0.5000, 0.5000, 0.0000], [0.5000, 0.0000, 0.5000]],
  "volume_a3_per_cell": 78,
  "magnetic_moment_mub_per_atom": 2.078
}



<y>
{
  "formula": "Mn2SbCl",
  "functional": "PBE-GGA",
  "state": "relaxed",
  "lattice_angstrom": [[-2.4630, 4.5204, 2.1457], [-4.8415, -2.7572, 0.2512], [-2.5411, -0.6579, 5.7171]],
  "species": ["Sb", "Sb", "Mn", "Mn", "Mn", "Mn", "Cl", "Cl"],
  "frac_coords": [[0.0000, 0.0000, 0.0000], [0.7500, 0.2500, 0.5000], [0.5679, 0.1250, 0.2500], [0.1821, 0.6250, 0.2500], [0.3750, 0.4321, 0.7500], [0.8750, 0.8179, 0.7500], [0.5000, 0.5000, 0.0000], [0.2500, 0.7500, 0.5000]],
  "volume_a3_per_cell": 152,
  "magnetic_moment_mub_per_atom": 0.001
}



<z>
{
  "formula": "Mn2SbCl",
  "functional": "PBE-GGA",
  "state": "relaxed",
  "lattice_angstrom": [[-2.9324, 3.4224, 1.9169], [0.4351, 4.6689, -1.4135], [-3.4866, 2.0597, -2.7545]],
  "species": ["Sb", "Mn", "Mn", "Cl"],
  "frac_coords": [[0.5000, 0.5000, 0.5000], [0.2500, 0.2500, 0.2500], [0.7500, 0.7500, 0.7500], [0.0000, 0.0000, 0.0000]],
  "volume_a3_per_cell": 83,
  "magnetic_moment_mub_per_atom": 2.354
}



It turns out <x> is the most stable, with the second structure 29 meV per atom higher.



<w>
{
  "formula": "Mn2SbCl",
  "functional": "PBE-GGA",
  "state": "relaxed",
  "lattice_angstrom": [[4.4225, -0.2308, 0.1052], [3.4570, 2.7678, 0.1052], [0.5120, 0.1649, 7.0181]],
  "species": ["Cl", "Mn", "Mn", "Sb"],
  "frac_coords": [[0.7304, 0.7304, 0.8841], [0.9871, 0.9871, 0.0275], [0.2596, 0.2596, 0.2098], [0.5230, 0.5230, 0.3786]],
  "volume_a3_per_cell": 91,
  "magnetic_moment_mub_per_atom": 1.718
}



<x>
{
  "formula": "Mn2SbCl",
  "functional": "PBE-GGA",
  "state": "relaxed",
  "lattice_angstrom": [[6.8634, 0.2940, 0.0000], [4.6000, 5.1022, 0.0000], [-5.7317, -2.6981, 2.6572]],
  "species": ["Cl", "Mn", "Mn", "Sb"],
  "frac_coords": [[0.7500, 0.2500, 0.5000], [0.0000, 0.0000, 0.0000], [0.2500, 0.7500, 0.5000], [0.5000, 0.5000, 0.0000]],
  "volume_a3_per_cell": 89,
  "magnetic_moment_mub_per_atom": 2.129
}



It turns out <w> is the most stable, with the second structure 221 meV per atom higher.



<w>
{
  "formula": "Mn2SbCl",
  "functional": "PBE-GGA",
  "state": "relaxed",
  "lattice_angstrom": [[3.4058, 0.0000, 0.0000], [0.0000, 3.7311, -0.0027], [0.0000, 0.0059, 6.6566]],
  "species": ["Cl", "Mn", "Mn", "Sb"],
  "frac_coords": [[0.5000, 0.7500, 0.7500], [0.0000, 0.7501, 0.0478], [0.0000, 0.7499, 0.4522], [0.5000, 0.2500, 0.2500]],
  "volume_a3_per_cell": 85,
  "magnetic_moment_mub_per_atom": 1.952
}



<x>
{
  "formula": "Mn2SbCl",
  "functional": "PBE-GGA",
  "state": "relaxed",
  "lattice_angstrom": [[-2.0885, -4.5266, 0.7087], [4.4633, -2.2936, -0.4147], [-1.9419, 3.2949, 3.2752]],
  "species": ["Cl", "Mn", "Mn", "Sb"],
  "frac_coords": [[0.2500, 0.7500, 0.5000], [0.0311, 0.0311, 0.0000], [0.4689, 0.4689, 0.0000], [0.7500, 0.2500, 0.5000]],
  "volume_a3_per_cell": 83,
  "magnetic_moment_mub_per_atom": 2.122
}



It turns out <w> is the most stable, with the second structure 252 meV per atom higher.



<w>
{
  "formula": "Mn2Sb2Cl",
  "functional": "PBE-GGA",
  "state": "relaxed",
  "lattice_angstrom": [[-1.2574, 7.0364, -3.0979], [-7.2448, -2.1351, -1.9090], [-1.0098, 1.0096, 2.7030]],
  "species": ["Sb", "Sb", "Sb", "Sb", "Mn", "Mn", "Mn", "Mn", "Cl", "Cl"],
  "frac_coords": [[0.3482, 0.8482, 0.0000], [0.8482, 0.6518, 0.0000], [0.6518, 0.1518, 0.0000], [0.1518, 0.3482, 0.0000], [0.1351, 0.6351, 0.5000], [0.6351, 0.8649, 0.5000], [0.8649, 0.3649, 0.5000], [0.3649, 0.1351, 0.5000], [0.0000, 0.0000, 0.0000], [0.5000, 0.5000, 0.0000]],
  "volume_a3_per_cell": 186,
  "magnetic_moment_mub_per_atom": 0.010
}



<x>
{
  "formula": "Mn2Sb2Cl",
  "functional": "PBE-GGA",
  "state": "relaxed",
  "lattice_angstrom": [[-2.8512, -0.5097, 1.7365], [-0.6627, -2.7213, -1.8868], [2.5503, -6.5612, 5.5454]],
  "species": ["Sb", "Sb", "Mn", "Mn", "Cl"],
  "frac_coords": [[0.3713, 0.3713, 0.2573], [0.6287, 0.6287, 0.7427], [0.7500, 0.2500, 0.5000], [0.2500, 0.7500, 0.5000], [0.0000, 0.0000, 0.0000]],
  "volume_a3_per_cell": 99,
  "magnetic_moment_mub_per_atom": 0.000
}



It turns out <x> is the most stable, with the second structure 470 meV per atom higher.



<w>
{
  "formula": "MnSb3Cl",
  "functional": "PBE-GGA",
  "state": "relaxed",
  "lattice_angstrom": [[-4.4013, 1.7581, 2.1617], [-2.3520, -4.5110, -1.1199], [1.4941, -1.9223, 4.6052]],
  "species": ["Sb", "Sb", "Sb", "Mn", "Cl"],
  "frac_coords": [[0.0000, 0.5000, 0.0000], [0.0000, 0.0000, 0.5000], [0.5000, 0.0000, 0.0000], [0.5000, 0.5000, 0.5000], [0.0000, 0.0000, 0.0000]],
  "volume_a3_per_cell": 141,
  "magnetic_moment_mub_per_atom": 0.030
}



<x>
{
  "formula": "MnSb3Cl",
  "functional": "PBE-GGA",
  "state": "relaxed",
  "lattice_angstrom": [[5.0234, 0.0000, 0.0000], [0.0000, 5.0234, 0.0000], [0.0000, 0.0000, 5.0234]],
  "species": ["Sb", "Sb", "Sb", "Mn", "Cl"],
  "frac_coords": [[0.0000, 0.5000, 0.0000], [0.0000, 0.0000, 0.5000], [0.5000, 0.0000, 0.0000], [0.0000, 0.0000, 0.0000], [0.5000, 0.5000, 0.5000]],
  "volume_a3_per_cell": 127,
  "magnetic_moment_mub_per_atom": 0.464
}



It turns out <x> is the most stable, with the second structure 1291 meV per atom higher.



<w>
{
  "formula": "Mn3SbCl",
  "functional": "PBE-GGA",
  "state": "relaxed",
  "lattice_angstrom": [[5.1572, 0.0000, 0.0000], [0.0000, 5.1572, 0.0000], [0.0000, 0.0000, 5.1572]],
  "species": ["Sb", "Mn", "Mn", "Mn", "Cl"],
  "frac_coords": [[0.0000, 0.0000, 0.0000], [0.0000, 0.5000, 0.0000], [0.0000, 0.0000, 0.5000], [0.5000, 0.0000, 0.0000], [0.5000, 0.5000, 0.5000]],
  "volume_a3_per_cell": 137,
  "magnetic_moment_mub_per_atom": 2.600
}



<x>
{
  "formula": "Mn3SbCl",
  "functional": "PBE-GGA",
  "state": "relaxed",
  "lattice_angstrom": [[-2.7037, 3.3895, 1.2617], [-3.5550, -2.2010, -1.7051], [-0.6649, -2.0142, 3.9863]],
  "species": ["Sb", "Mn", "Mn", "Mn", "Cl"],
  "frac_coords": [[0.5000, 0.5000, 0.5000], [0.0000, 0.5000, 0.0000], [0.0000, 0.0000, 0.5000], [0.5000, 0.0000, 0.0000], [0.0000, 0.0000, 0.0000]],
  "volume_a3_per_cell": 92,
  "magnetic_moment_mub_per_atom": 2.191
}



It turns out <x> is the most stable, with the second structure 131 meV per atom higher.



<w>
{
  "formula": "MnSbCl6",
  "functional": "PBE-GGA",
  "state": "relaxed",
  "lattice_angstrom": [[6.6315, 0.1649, -0.1262], [0.1447, 5.9988, 3.4108], [-0.0968, -0.0321, 6.9015]],
  "species": ["Mn", "Sb", "Cl", "Cl", "Cl", "Cl", "Cl", "Cl"],
  "frac_coords": [[0.0000, 0.0208, 0.0208], [0.5000, 0.0207, 0.0207], [0.8157, 0.7520, 0.2895], [0.1843, 0.2895, 0.7520], [0.2370, 0.0223, 0.3030], [0.2370, 0.7386, 0.0191], [0.7630, 0.0191, 0.7386], [0.7630, 0.3030, 0.0223]],
  "volume_a3_per_cell": 275,
  "magnetic_moment_mub_per_atom": 0.500
}



<x>
{
  "formula": "MnSbCl6",
  "functional": "PBE-GGA",
  "state": "relaxed",
  "lattice_angstrom": [[-1.5965, 6.0655, 1.4989], [-5.0859, 2.7864, -2.8221], [-5.6450, 1.0031, 3.7973]],
  "species": ["Mn", "Sb", "Cl", "Cl", "Cl", "Cl", "Cl", "Cl"],
  "frac_coords": [[0.5000, 0.5000, 0.5000], [0.0000, 0.0000, 0.0000], [0.1212, 0.4045, 0.7387], [0.7357, 0.1212, 0.7387], [0.5955, 0.2643, 0.2613], [0.2643, 0.8788, 0.2613], [0.8788, 0.5955, 0.2613], [0.4045, 0.7357, 0.7387]],
  "volume_a3_per_cell": 208,
  "magnetic_moment_mub_per_atom": 0.500
}



It turns out <w> is the most stable, with the second structure 10 meV per atom higher.